[1]
The following is a PBE calculation of a relaxed structure of TlBr2Cl, from the Alexandria database.

Properties
Formation energy from raw total energies: -0.059 eV per atom
Distance to the lowest polymorph of the same formula: 1.78 eV per formula unit
Volume: 27.5 A^3/atom
Final energy: -1.949 eV per atom
Crystal system: cubic
Fermi-level density of states: 1.8555 states/eV per atom

Cell and atoms, written as CIF:
```
data_TlBr2Cl
_chemical_formula_sum 'Tl4 Br8 Cl4'
_cell_length_a 7.6090
_cell_length_b 7.6090
_cell_length_c 7.6090
_cell_angle_alpha 90.00
_cell_angle_beta 90.00
_cell_angle_gamma 90.00
_symmetry_space_group_name_H-M 'F m -3 m'
_symmetry_Int_Tables_number 225
_symmetry_space_group_name_Hall '-F 4 2 3'
loop_
_atom_site_label
_atom_site_type_symbol
_atom_site_fract_x
_atom_site_fract_y
_atom_site_fract_z
Tl1 Tl 0.0000 0.0000 0.0000
Br1 Br 0.2500 0.2500 0.2500
Cl1 Cl 0.0000 0.0000 0.5000
```

=====

[2]
The following is a PBE calculation of a relaxed structure of BaZrTe2, from the Alexandria database.

Properties
Formation energy from raw total energies: -0.068 eV per atom
Distance to the lowest polymorph of the same formula: 4.09 eV per formula unit
Volume: 30.6 A^3/atom
Final energy: -4.256 eV per atom
Crystal system: cubic
Fermi-level density of states: 1.2781 states/eV per atom

Cell and atoms, written as CIF:
```
data_BaZrTe2
_chemical_formula_sum 'Ba4 Zr4 Te8'
_cell_length_a 7.8830
_cell_length_b 7.8830
_cell_length_c 7.8830
_cell_angle_alpha 90.00
_cell_angle_beta 90.00
_cell_angle_gamma 90.00
_symmetry_space_group_name_H-M 'F -4 3 m'
_symmetry_Int_Tables_number 216
_symmetry_space_group_name_Hall 'F -4 2 3'
loop_
_atom_site_label
_atom_site_type_symbol
_atom_site_fract_x
_atom_site_fract_y
_atom_site_fract_z
Ba1 Ba 0.0000 0.0000 0.0000
Zr1 Zr 0.2500 0.2500 0.2500
Te1 Te 0.0000 0.0000 0.5000
Te2 Te 0.2500 0.2500 0.7500
```